[1]
An optimized crystal structure of In3IrI, computed with PBE-GGA.

a = 13.8178 Å, b = 13.8178 Å, c = 13.8178 Å
α = 90.00°, β = 90.00°, γ = 90.00°
Space group Fd-3m (No. 227, origin choice 2)
Symmetry-distinct sites (fractional):
In (0.0678, 0.3750, 0.3750)
Ir (0.0000, 0.0000, 0.0000)
I (0.0000, 0.0000, 0.5000)

## Properties
* V: 2638.2 Å³/cell
* D(E_F): 0.77 states/eV/f.u.
* uncorrected energy: -19.91 eV/f.u.
* distance to the lowest polymorph of the same formula: 2.5 kJ/mol of atoms
* formation energy without anion corrections: -256 meV per atom



[2]
An optimized crystal structure of InIr2I, computed with PBE-GGA.

a = 6.6929 Å, b = 6.6929 Å, c = 6.6929 Å
α = 90.00°, β = 90.00°, γ = 90.00°
Space group Fm-3m (No. 225)
Symmetry-distinct sites (fractional):
In (0.0000, 0.0000, 0.0000)
Ir (0.2500, 0.2500, 0.2500)
I (0.0000, 0.0000, 0.5000)

## Properties
* V: 299.8 Å³/cell
* D(E_F): 4.56 states/eV/f.u.
* uncorrected energy: -18.75 eV/f.u.
* distance to the lowest polymorph of the same formula: 9.4 kJ/mol of atoms
* formation energy without anion corrections: 815 meV per atom



[3]
An optimized crystal structure of In3IrI, computed with PBE-GGA.

a = 8.0461 Å, b = 11.5850 Å, c = 6.2923 Å
α = 90.00°, β = 90.00°, γ = 90.00°
Space group Cmcm (No. 63)
Symmetry-distinct sites (fractional):
In (0.0000, 0.0000, 0.0000)
In (0.1746, 0.3028, 0.2500)
Ir (0.0000, 0.1773, 0.7500)
I (0.0000, 0.4136, 0.7500)

## Properties
* V: 586.5 Å³/cell
* D(E_F): 1.93 states/eV/f.u.
* uncorrected energy: -18.58 eV/f.u.
* distance to the lowest polymorph of the same formula: 28.1 kJ/mol of atoms
* formation energy without anion corrections: 9 meV per atom



[4]
An optimized crystal structure of In3IrI, computed with PBE-GGA.

a = 11.0716 Å, b = 15.6933 Å, c = 6.1093 Å
α = 90.00°, β = 90.00°, γ = 90.00°
Space group Cmce (No. 64)
Symmetry-distinct sites (fractional):
In (0.0000, 0.0591, 0.2394)
In (0.0000, 0.2490, 0.4949)
In (0.2500, 0.0990, 0.7500)
Ir (0.0000, 0.1093, 0.7494)
I (0.2500, 0.1632, 0.2500)

## Properties
* V: 1061.5 Å³/cell
* D(E_F): 1.34 states/eV/f.u.
* uncorrected energy: -18.99 eV/f.u.
* distance to the lowest polymorph of the same formula: 20.2 kJ/mol of atoms
* formation energy without anion corrections: -73 meV per atom



[5]
An optimized crystal structure of In3IrI, computed with PBE-GGA.

a = 8.7447 Å, b = 7.0066 Å, c = 10.5971 Å
α = 90.00°, β = 126.66°, γ = 90.00°
Space group P2_1/c (No. 14)
Symmetry-distinct sites (fractional):
In (0.0117, 0.1504, 0.2244)
In (0.2214, 0.5044, 0.1065)
In (0.3497, 0.0011, 0.1695)
Ir (0.0092, 0.1801, 0.9558)
I (0.4452, 0.7446, 0.9797)

## Properties
* V: 520.9 Å³/cell
* D(E_F): 1.97 states/eV/f.u.
* uncorrected energy: -19.16 eV/f.u.
* distance to the lowest polymorph of the same formula: 16.9 kJ/mol of atoms
* formation energy without anion corrections: -107 meV per atom



[6]
An optimized crystal structure of In2Ir2I, computed with PBE-GGA.

a = 7.8956 Å, b = 7.8956 Å, c = 3.2011 Å
α = 90.00°, β = 90.00°, γ = 90.00°
Space group P4/mbm (No. 127)
Symmetry-distinct sites (fractional):
In (0.1422, 0.3578, 0.0000)
Ir (0.1541, 0.6541, 0.5000)
I (0.0000, 0.0000, 0.5000)

## Properties
* V: 199.6 Å³/cell
* D(E_F): 2.50 states/eV/f.u.
* uncorrected energy: -23.64 eV/f.u.
* distance to the lowest polymorph of the same formula: 0.0 kJ/mol of atoms
* formation energy without anion corrections: 222 meV per atom